# 1
PrPuZnSn: optimized geometry, PBE.

- total magnetic moment (μB per cell) = 6.563
- formation energy (eV per atom) = -0.315

Geometry as CIF:
```
data_PrPuZnSn
_cell_length_a 5.337
_cell_length_b 5.337
_cell_length_c 5.337
_cell_angle_alpha 60.00
_cell_angle_beta 60.00
_cell_angle_gamma 60.00
_space_group_name_H-M_alt 'P 1'
_space_group_IT_number 1
loop_
_space_group_symop_operation_xyz
'x,y,z'
loop_
_atom_site_label
_atom_site_fract_x
_atom_site_fract_y
_atom_site_fract_z
Pr1 0.500 0.500 0.500
Sn1 0.250 0.250 0.250
Zn1 0.750 0.750 0.750
Pu1 0.000 0.000 0.000
```

---

# 2
PrPu2Zn2Sn2: optimized geometry, PBE.

- total magnetic moment (μB per cell) = 11.864
- formation energy (eV per atom) = -0.271

Geometry as CIF:
```
data_PrPu2Zn2Sn2
_cell_length_a 4.644
_cell_length_b 4.644
_cell_length_c 9.624
_cell_angle_alpha 76.04
_cell_angle_beta 76.04
_cell_angle_gamma 60.00
_space_group_name_H-M_alt 'P 1'
_space_group_IT_number 1
loop_
_space_group_symop_operation_xyz
'x,y,z'
loop_
_atom_site_label
_atom_site_fract_x
_atom_site_fract_y
_atom_site_fract_z
Pu1 0.145 0.145 0.565
Zn1 0.427 0.427 0.718
Pr1 0.000 0.000 0.000
Zn2 0.573 0.573 0.282
Sn1 0.736 0.736 0.792
Sn2 0.264 0.264 0.208
Pu2 0.855 0.855 0.435
```

---

# 3
SrPr2Pu: optimized geometry, PBE.

- total magnetic moment (μB per cell) = 6.047
- formation energy (eV per atom) = 0.178

Geometry as CIF:
```
data_SrPr2Pu
_cell_length_a 3.704
_cell_length_b 3.704
_cell_length_c 10.776
_cell_angle_alpha 90.00
_cell_angle_beta 90.00
_cell_angle_gamma 90.00
_space_group_name_H-M_alt 'P 1'
_space_group_IT_number 1
loop_
_space_group_symop_operation_xyz
'x,y,z'
loop_
_atom_site_label
_atom_site_fract_x
_atom_site_fract_y
_atom_site_fract_z
Sr1 0.500 0.500 0.500
Pr1 0.000 0.000 0.783
Pr2 0.000 0.000 0.217
Pu1 0.500 0.500 0.000
```

---

# 4
Sr3Pr2PuTe6: optimized geometry, PBE.

- total magnetic moment (μB per cell) = 6.086
- energy relative to the elements, uncorrected (eV per atom) = -1.4977

Geometry as CIF:
```
data_Sr3Pr2PuTe6
_cell_length_a 4.580
_cell_length_b 9.303
_cell_length_c 10.368
_cell_angle_alpha 104.05
_cell_angle_beta 102.76
_cell_angle_gamma 90.00
_space_group_name_H-M_alt 'P 1'
_space_group_IT_number 1
loop_
_space_group_symop_operation_xyz
'x,y,z'
loop_
_atom_site_label
_atom_site_fract_x
_atom_site_fract_y
_atom_site_fract_z
Te1 0.664 0.088 0.328
Te2 0.332 0.420 0.663
Te3 0.668 0.580 0.337
Sr1 0.833 0.166 0.666
Sr2 0.500 0.500 0.000
Pr1 0.833 0.666 0.666
Sr3 0.167 0.834 0.334
Pr2 0.167 0.334 0.334
Pu1 0.500 0.000 0.000
Te4 0.336 0.912 0.672
Te5 0.998 0.759 0.997
Te6 0.002 0.241 0.003
```

---

# 5
TbPrPu: optimized geometry, PBE.

- total magnetic moment (μB per cell) = 24.263
- formation energy (eV per atom) = 0.203
- relative energy among the computed polymorphs (meV per atom) = 73

Geometry as CIF:
```
data_TbPrPu
_cell_length_a 6.310
_cell_length_b 6.184
_cell_length_c 11.618
_cell_angle_alpha 82.04
_cell_angle_beta 74.24
_cell_angle_gamma 59.33
_space_group_name_H-M_alt 'P 1'
_space_group_IT_number 1
loop_
_space_group_symop_operation_xyz
'x,y,z'
loop_
_atom_site_label
_atom_site_fract_x
_atom_site_fract_y
_atom_site_fract_z
Pu1 0.875 0.500 0.250
Tb1 0.422 0.000 0.157
Pr1 0.921 0.157 0.500
Pr2 0.829 0.343 0.000
Pr3 0.171 0.657 0.000
Tb2 0.578 0.000 0.843
Pr4 0.579 0.843 0.500
Pu2 0.625 0.500 0.750
Pu3 0.875 0.000 0.250
Tb3 0.172 0.500 0.657
Tb4 0.328 0.500 0.343
Pu4 0.125 0.000 0.750
```

---

# 6
Tb5Pr4Pu: optimized geometry, PBE.

- total magnetic moment (μB per cell) = 11.599
- formation energy (eV per atom) = 0.243

Geometry as CIF:
```
data_Tb5Pr4Pu
_cell_length_a 5.762
_cell_length_b 11.532
_cell_length_c 10.328
_cell_angle_alpha 90.00
_cell_angle_beta 90.00
_cell_angle_gamma 90.00
_space_group_name_H-M_alt 'P 1'
_space_group_IT_number 1
loop_
_space_group_symop_operation_xyz
'x,y,z'
loop_
_atom_site_label
_atom_site_fract_x
_atom_site_fract_y
_atom_site_fract_z
Pu1 0.750 0.500 0.500
Pr1 0.752 0.000 0.288
Tb1 0.750 0.309 0.692
Pu2 0.250 0.000 0.000
Tb2 0.253 0.000 0.500
Tb3 0.747 0.500 0.000
Tb4 0.250 0.809 0.808
Pr2 0.250 0.317 0.500
Tb5 0.750 0.691 0.308
Pr3 0.248 0.500 0.212
Tb6 0.250 0.191 0.192
Tb7 0.250 0.809 0.192
Pr4 0.750 0.183 0.000
Pr5 0.750 0.817 0.000
Pr6 0.248 0.500 0.788
Pr7 0.250 0.683 0.500
Pr8 0.752 0.000 0.712
Tb8 0.750 0.309 0.308
Tb9 0.250 0.191 0.808
Tb10 0.750 0.691 0.692
```

---

Q: Which of these has the lowest total magnetic moment?
A: SrPr2Pu

---

Q: Look up the total magnetic moment of the third one.
A: 6.047 μB per cell

---

Q: total magnetic moment of number 5 (TbPrPu)?
A: 24.263 μB per cell

---

Q: Which value of total magnetic moment does entry 3 give?
A: 6.047 μB per cell